# 1
VASP calculation (meta-GGA SCAN) on a PBEsol-optimized structure of Cs2KRb.

Results
Fermi-level density of states: 7.4 states/eV/cell
energy above the lowest structure with this stoichiometry: 54 meV/atom
symmetry: I-42d, No. 122
energy relative to the elements: 0.23 eV per formula unit

Structure (POSCAR):
```
Cs2KRb
1.0
9.5884 0.0000 0.0000
4.7942 8.9146 0.0000
4.7942 0.0000 8.9146
Cs K Rb
4 2 2
Direct
0.3750 0.4919 0.0081
0.6169 0.0081 0.5081
0.8750 0.5081 0.9919
0.1331 0.9919 0.4919
0.5000 0.0000 0.0000
0.2500 0.5000 0.5000
0.0000 0.0000 0.0000
0.7500 0.5000 0.5000
```

# 2
VASP calculation (meta-GGA SCAN) on a PBEsol-optimized structure of LiZn2Au.

Results
Fermi-level density of states: 1.1 states/eV/cell
energy above the lowest structure with this stoichiometry: 108 meV/atom
symmetry: C2/m, No. 12
energy relative to the elements: -1.37 eV per formula unit

Structure (POSCAR):
```
LiZn2Au
1.0
2.7909 0.0000 0.0000
0.0000 4.6580 0.0192
-1.3955 -0.7139 4.4445
Zn Li Au
2 1 1
Direct
0.2459 0.2521 0.4917
0.7541 0.7479 0.5083
0.0000 0.5000 0.0000
0.5000 0.0000 0.0000
```

# 3
VASP calculation (meta-GGA SCAN) on a PBEsol-optimized structure of RbNaSN2.

Results
Fermi-level density of states: 2.6 states/eV/cell
symmetry: P4/mmm, No. 123
formation energy (no corrections): 1.49 eV per atom

Structure (POSCAR):
```
RbNaSN2
1.0
-2.4545 -2.4636 3.9108
-0.5089 -4.2570 -3.0011
5.2954 -2.0609 2.0253
Na Rb N S
1 1 2 1
Direct
0.5000 0.5000 0.5000
0.0000 0.0000 0.0000
0.0000 0.5000 0.0000
0.5000 0.0000 0.0000
0.0000 0.0000 0.5000
```